Record 1
The following is a GGA-PBE calculation of a geometry-optimized Pr6Nd2Sm3 structure, from Alexandria via LeMat-Bulk.

Fermi-level density of states: 16.7 states/eV per cell
DFT formation energy: 279 kJ/mol of formula units

CIF file:
```
data_Pr6Nd2Sm3
_space_group_name_H-M_alt 'P 1'
_space_group_IT_number 1
_cell_length_a 4.835
_cell_length_b 4.835
_cell_length_c 17.681
_cell_angle_alpha 97.86
_cell_angle_beta 97.86
_cell_angle_gamma 90.00
loop_
_space_group_symop_operation_xyz
'x,y,z'
loop_
_atom_site_label
_atom_site_fract_x
_atom_site_fract_y
_atom_site_fract_z
Pr1 0.120 0.620 0.241
Pr2 0.620 0.120 0.241
Pr3 0.880 0.380 0.759
Pr4 0.380 0.880 0.759
Pr5 0.706 0.706 0.413
Pr6 0.294 0.294 0.587
Nd1 0.455 0.455 0.911
Nd2 0.545 0.545 0.089
Sm1 0.000 0.000 0.000
Sm2 0.805 0.805 0.611
Sm3 0.195 0.195 0.389
```

Record 2
The following is a GGA-PBE calculation of a geometry-optimized Pr8NdSm6 structure, from Alexandria via LeMat-Bulk.

Fermi-level density of states: 22.4 states/eV per cell
DFT formation energy: 167 kJ/mol of formula units

CIF file:
```
data_Pr8NdSm6
_space_group_name_H-M_alt 'P 1'
_space_group_IT_number 1
_cell_length_a 9.325
_cell_length_b 9.325
_cell_length_c 8.885
_cell_angle_alpha 58.35
_cell_angle_beta 58.35
_cell_angle_gamma 60.00
loop_
_space_group_symop_operation_xyz
'x,y,z'
loop_
_atom_site_label
_atom_site_fract_x
_atom_site_fract_y
_atom_site_fract_z
Pr1 0.887 0.284 0.579
Pr2 0.750 0.113 0.421
Pr3 0.716 0.750 0.421
Pr4 0.422 0.422 0.733
Pr5 0.578 0.578 0.267
Pr6 0.284 0.250 0.579
Pr7 0.250 0.887 0.579
Pr8 0.113 0.716 0.421
Nd1 0.000 0.000 0.000
Sm1 0.098 0.538 0.119
Sm2 0.755 0.902 0.881
Sm3 0.462 0.755 0.881
Sm4 0.538 0.245 0.119
Sm5 0.245 0.098 0.119
Sm6 0.902 0.462 0.881
```

Record 3
The following is a GGA-PBE calculation of a geometry-optimized Pr7Nd4Sm structure, from Alexandria via LeMat-Bulk.

Fermi-level density of states: 19.6 states/eV per cell
DFT formation energy: 225 kJ/mol of formula units

CIF file:
```
data_Pr7Nd4Sm
_space_group_name_H-M_alt 'P 1'
_space_group_IT_number 1
_cell_length_a 6.154
_cell_length_b 9.985
_cell_length_c 8.824
_cell_angle_alpha 60.53
_cell_angle_beta 69.59
_cell_angle_gamma 72.05
loop_
_space_group_symop_operation_xyz
'x,y,z'
loop_
_atom_site_label
_atom_site_fract_x
_atom_site_fract_y
_atom_site_fract_z
Pr1 0.790 0.876 0.545
Pr2 0.210 0.124 0.455
Pr3 0.082 0.561 0.275
Pr4 0.918 0.439 0.725
Pr5 0.208 0.775 0.809
Pr6 0.500 0.000 0.000
Pr7 0.792 0.225 0.191
Nd1 0.573 0.301 0.552
Nd2 0.427 0.699 0.448
Nd3 0.673 0.611 0.044
Nd4 0.327 0.389 0.956
Sm1 0.000 0.000 0.000
```

Record 4
The following is a GGA-PBE calculation of a geometry-optimized Pr4Nd2Sm5 structure, from Alexandria via LeMat-Bulk.

Fermi-level density of states: 15.6 states/eV per cell
DFT formation energy: 240 kJ/mol of formula units

CIF file:
```
data_Pr4Nd2Sm5
_space_group_name_H-M_alt 'P 1'
_space_group_IT_number 1
_cell_length_a 3.574
_cell_length_b 9.444
_cell_length_c 12.804
_cell_angle_alpha 111.64
_cell_angle_beta 98.02
_cell_angle_gamma 90.00
loop_
_space_group_symop_operation_xyz
'x,y,z'
loop_
_atom_site_label
_atom_site_fract_x
_atom_site_fract_y
_atom_site_fract_z
Pr1 0.000 0.296 0.000
Pr2 0.596 0.596 0.192
Pr3 0.000 0.704 0.000
Pr4 0.404 0.404 0.808
Nd1 0.269 0.269 0.539
Nd2 0.731 0.731 0.461
Sm1 0.854 0.050 0.707
Sm2 0.854 0.657 0.707
Sm3 0.146 0.343 0.293
Sm4 0.146 0.950 0.293
Sm5 0.500 0.000 0.000
```

Record 5
The following is a GGA-PBE calculation of a geometry-optimized Pr3Nd8Sm3 structure, from Alexandria via LeMat-Bulk.

Fermi-level density of states: 18.8 states/eV per cell
DFT formation energy: 140 kJ/mol of formula units

CIF file:
```
data_Pr3Nd8Sm3
_space_group_name_H-M_alt 'P 1'
_space_group_IT_number 1
_cell_length_a 5.792
_cell_length_b 9.967
_cell_length_c 9.967
_cell_angle_alpha 102.73
_cell_angle_beta 73.11
_cell_angle_gamma 73.11
loop_
_space_group_symop_operation_xyz
'x,y,z'
loop_
_atom_site_label
_atom_site_fract_x
_atom_site_fract_y
_atom_site_fract_z
Pr1 0.500 0.500 0.500
Pr2 0.806 0.194 0.194
Pr3 0.194 0.806 0.806
Nd1 0.659 0.118 0.564
Nd2 0.341 0.882 0.436
Nd3 0.659 0.564 0.118
Nd4 0.341 0.436 0.882
Nd5 0.837 0.766 0.559
Nd6 0.163 0.234 0.441
Nd7 0.837 0.559 0.766
Nd8 0.163 0.441 0.234
Sm1 0.500 0.000 0.000
Sm2 0.000 0.817 0.183
Sm3 0.000 0.183 0.817
```

Record 6
The following is a GGA-PBE calculation of a geometry-optimized Pr6Nd2Sm3 structure, from Alexandria via LeMat-Bulk.

Fermi-level density of states: 17.4 states/eV per cell
DFT formation energy: 341 kJ/mol of formula units

CIF file:
```
data_Pr6Nd2Sm3
_space_group_name_H-M_alt 'P 1'
_space_group_IT_number 1
_cell_length_a 6.179
_cell_length_b 6.179
_cell_length_c 30.410
_cell_angle_alpha 39.53
_cell_angle_beta 39.53
_cell_angle_gamma 66.01
loop_
_space_group_symop_operation_xyz
'x,y,z'
loop_
_atom_site_label
_atom_site_fract_x
_atom_site_fract_y
_atom_site_fract_z
Pr1 0.897 0.414 0.855
Pr2 0.414 0.897 0.855
Pr3 0.103 0.586 0.145
Pr4 0.586 0.103 0.145
Pr5 0.511 0.511 0.649
Pr6 0.489 0.489 0.351
Nd1 0.165 0.165 0.334
Nd2 0.835 0.835 0.666
Sm1 0.000 0.000 0.000
Sm2 0.661 0.661 0.402
Sm3 0.339 0.339 0.598
```

Record 7
The following is a GGA-PBE calculation of a geometry-optimized PrNd15Sm4 structure, from Alexandria via LeMat-Bulk.

Fermi-level density of states: 29.7 states/eV per cell
DFT formation energy: 27 kJ/mol of formula units

CIF file:
```
data_PrNd15Sm4
_space_group_name_H-M_alt 'P 1'
_space_group_IT_number 1
_cell_length_a 5.199
_cell_length_b 5.199
_cell_length_c 25.933
_cell_angle_alpha 90.00
_cell_angle_beta 90.00
_cell_angle_gamma 90.00
loop_
_space_group_symop_operation_xyz
'x,y,z'
loop_
_atom_site_label
_atom_site_fract_x
_atom_site_fract_y
_atom_site_fract_z
Pr1 0.000 0.000 0.000
Nd1 0.500 0.500 0.000
Nd2 0.500 0.500 0.201
Nd3 0.500 0.500 0.400
Nd4 0.500 0.500 0.600
Nd5 0.500 0.500 0.799
Nd6 0.500 0.000 0.101
Nd7 0.500 0.000 0.300
Nd8 0.500 0.000 0.500
Nd9 0.500 0.000 0.700
Nd10 0.500 0.000 0.899
Nd11 0.000 0.500 0.101
Nd12 0.000 0.500 0.300
Nd13 0.000 0.500 0.500
Nd14 0.000 0.500 0.700
Nd15 0.000 0.500 0.899
Sm1 0.000 0.000 0.201
Sm2 0.000 0.000 0.400
Sm3 0.000 0.000 0.600
Sm4 0.000 0.000 0.799
```

Record 8
The following is a GGA-PBE calculation of a geometry-optimized PrNd5Sm12 structure, from Alexandria via LeMat-Bulk.

Fermi-level density of states: 30.5 states/eV per cell
DFT formation energy: 170 kJ/mol of formula units

CIF file:
```
data_PrNd5Sm12
_space_group_name_H-M_alt 'P 1'
_space_group_IT_number 1
_cell_length_a 11.576
_cell_length_b 10.576
_cell_length_c 6.073
_cell_angle_alpha 90.01
_cell_angle_beta 90.02
_cell_angle_gamma 56.82
loop_
_space_group_symop_operation_xyz
'x,y,z'
loop_
_atom_site_label
_atom_site_fract_x
_atom_site_fract_y
_atom_site_fract_z
Pr1 0.000 0.000 0.000
Nd1 0.500 0.000 0.500
Nd2 0.167 0.666 0.500
Nd3 0.833 0.334 0.500
Nd4 0.667 0.666 0.000
Nd5 0.333 0.334 0.000
Sm1 0.822 0.000 0.449
Sm2 0.178 0.000 0.551
Sm3 0.677 0.000 0.949
Sm4 0.323 0.000 0.051
Sm5 0.345 0.666 0.948
Sm6 0.989 0.666 0.052
Sm7 0.011 0.334 0.948
Sm8 0.655 0.334 0.052
Sm9 0.511 0.333 0.552
Sm10 0.844 0.667 0.552
Sm11 0.156 0.333 0.448
Sm12 0.489 0.667 0.448
```

Record 9
The following is a GGA-PBE calculation of a geometry-optimized Pr6NdSm2 structure, from Alexandria via LeMat-Bulk.

Fermi-level density of states: 17.9 states/eV per cell
DFT formation energy: 147 kJ/mol of formula units

CIF file:
```
data_Pr6NdSm2
_space_group_name_H-M_alt 'P 1'
_space_group_IT_number 1
_cell_length_a 3.534
_cell_length_b 6.236
_cell_length_c 18.025
_cell_angle_alpha 117.32
_cell_angle_beta 84.38
_cell_angle_gamma 73.54
loop_
_space_group_symop_operation_xyz
'x,y,z'
loop_
_atom_site_label
_atom_site_fract_x
_atom_site_fract_y
_atom_site_fract_z
Pr1 0.437 0.188 0.938
Pr2 0.563 0.812 0.062
Pr3 0.772 0.187 0.270
Pr4 0.103 0.189 0.605
Pr5 0.228 0.813 0.730
Pr6 0.897 0.811 0.395
Nd1 0.500 0.500 0.500
Sm1 0.833 0.500 0.834
Sm2 0.167 0.500 0.166
```

Record 10
The following is a GGA-PBE calculation of a geometry-optimized Pr2Nd5Sm3 structure, from Alexandria via LeMat-Bulk.

Fermi-level density of states: 30.9 states/eV per cell
DFT formation energy: 247 kJ/mol of formula units

CIF file:
```
data_Pr2Nd5Sm3
_space_group_name_H-M_alt 'P 1'
_space_group_IT_number 1
_cell_length_a 6.622
_cell_length_b 11.189
_cell_length_c 11.189
_cell_angle_alpha 102.72
_cell_angle_beta 72.79
_cell_angle_gamma 72.79
loop_
_space_group_symop_operation_xyz
'x,y,z'
loop_
_atom_site_label
_atom_site_fract_x
_atom_site_fract_y
_atom_site_fract_z
Pr1 0.085 0.747 0.083
Pr2 0.585 0.083 0.747
Pr3 0.915 0.253 0.917
Pr4 0.415 0.917 0.253
Nd1 0.243 0.426 0.088
Nd2 0.743 0.088 0.426
Nd3 0.757 0.574 0.912
Nd4 0.257 0.912 0.574
Nd5 0.499 0.751 0.751
Nd6 0.501 0.249 0.249
Nd7 0.750 0.500 0.500
Nd8 0.250 0.500 0.500
Nd9 0.001 0.249 0.249
Nd10 0.999 0.751 0.751
Sm1 0.409 0.423 0.759
Sm2 0.909 0.759 0.423
Sm3 0.591 0.577 0.241
Sm4 0.091 0.241 0.577
Sm5 0.250 0.000 0.000
Sm6 0.750 0.000 0.000
```

Record 11
The following is a GGA-PBE calculation of a geometry-optimized PrNd6Sm12 structure, from Alexandria via LeMat-Bulk.

Fermi-level density of states: 34.7 states/eV per cell
DFT formation energy: 361 kJ/mol of formula units

CIF file:
```
data_PrNd6Sm12
_space_group_name_H-M_alt 'P 1'
_space_group_IT_number 1
_cell_length_a 8.901
_cell_length_b 8.901
_cell_length_c 8.901
_cell_angle_alpha 99.09
_cell_angle_beta 99.09
_cell_angle_gamma 99.09
loop_
_space_group_symop_operation_xyz
'x,y,z'
loop_
_atom_site_label
_atom_site_fract_x
_atom_site_fract_y
_atom_site_fract_z
Pr1 0.000 0.000 0.000
Nd1 0.904 0.342 0.904
Nd2 0.904 0.904 0.342
Nd3 0.342 0.904 0.904
Nd4 0.096 0.096 0.658
Nd5 0.096 0.658 0.096
Nd6 0.658 0.096 0.096
Sm1 0.758 0.242 0.500
Sm2 0.356 0.083 0.356
Sm3 0.356 0.356 0.083
Sm4 0.917 0.644 0.644
Sm5 0.644 0.644 0.917
Sm6 0.644 0.917 0.644
Sm7 0.500 0.758 0.242
Sm8 0.242 0.500 0.758
Sm9 0.242 0.758 0.500
Sm10 0.500 0.242 0.758
Sm11 0.758 0.500 0.242
Sm12 0.083 0.356 0.356
```

Record 12
The following is a GGA-PBE calculation of a geometry-optimized Pr3Nd5Sm2 structure, from Alexandria via LeMat-Bulk.

Fermi-level density of states: 14.4 states/eV per cell
DFT formation energy: 146 kJ/mol of formula units

CIF file:
```
data_Pr3Nd5Sm2
_space_group_name_H-M_alt 'P 1'
_space_group_IT_number 1
_cell_length_a 5.620
_cell_length_b 6.541
_cell_length_c 13.596
_cell_angle_alpha 114.82
_cell_angle_beta 78.07
_cell_angle_gamma 64.56
loop_
_space_group_symop_operation_xyz
'x,y,z'
loop_
_atom_site_label
_atom_site_fract_x
_atom_site_fract_y
_atom_site_fract_z
Pr1 0.500 0.500 0.500
Pr2 0.156 0.579 0.109
Pr3 0.844 0.421 0.891
Nd1 0.000 0.000 0.000
Nd2 0.124 0.200 0.553
Nd3 0.876 0.800 0.447
Nd4 0.593 0.550 0.264
Nd5 0.407 0.450 0.736
Sm1 0.336 0.101 0.226
Sm2 0.664 0.899 0.774
```

- Which of these has the lowest DFT formation energy?
  PrNd15Sm4